TbPd3Au4: relaxed, PBE-GGA.

V: 17.9 Å³ per atom
Formation energy: -0.423 eV per atom
Density of states at the Fermi level: 6.90 states/eV/cell

CIF file:
```
data_TbPd3Au4
_cell_length_a 4.160
_cell_length_b 4.160
_cell_length_c 16.592
_cell_angle_alpha 90.00
_cell_angle_beta 90.00
_cell_angle_gamma 90.00
_space_group_name_H-M_alt 'I 4/m m m'
_space_group_IT_number 139
_space_group_name_Hall '-I 4 2'
loop_
_atom_site_label
_atom_site_fract_x
_atom_site_fract_y
_atom_site_fract_z
Tb1 0.000 0.000 0.000
Pd1 0.000 0.000 0.253
Pd2 0.000 0.000 0.500
Au1 0.000 0.500 0.131
```